Record 1
Density functional theory data (PBE-GGA) for an optimized crystal structure of LuSnIr.

```
LuSnIr
1.0
-3.546 -3.970 -6.166
0.656 -3.561 7.296
-2.793 1.197 0.835
Sn Ir Lu
3 3 3
Cartesian
0.000 0.000 0.000
-3.542 -3.235 -1.261
-2.141 -3.099 3.227
-2.260 -2.530 -3.929
-1.049 -2.732 0.410
0.418 -2.269 4.649
-1.198 -0.478 2.624
-3.413 -4.655 1.206
-2.469 -0.602 -1.447
```

Summary:
Total DFT energy (no corrections) (eV/atom): -6.066

***

Record 2
Density functional theory data (PBE-GGA) for an optimized crystal structure of RbPmSO.

```
RbPmSO
1.0
8.443 0.000 0.000
0.000 9.512 0.000
0.000 0.000 5.686
Rb O Pm S
4 4 4 4
Cartesian
5.203 8.599 3.194
3.240 0.913 0.351
0.982 0.913 3.194
7.461 8.599 0.351
4.614 7.952 0.356
8.051 7.952 3.199
3.829 1.560 3.199
0.392 1.560 0.356
0.540 6.127 3.200
4.762 3.385 3.200
7.903 3.385 0.357
3.681 6.127 0.357
5.074 3.666 0.357
3.369 5.845 3.201
0.853 5.845 0.357
7.590 3.666 3.201
```

Summary:
Offset from the most stable computed form (meV/atom): 192

***

Record 3
Density functional theory data (PBE-GGA) for an optimized crystal structure of AgBSb2.

```
AgBSb2
1.0
0.000 3.476 3.476
3.476 0.000 3.476
3.476 3.476 0.000
B Sb Ag
1 2 1
Cartesian
0.000 0.000 0.000
1.738 1.738 1.738
3.476 3.476 3.476
5.214 5.214 5.214
```

Summary:
Total DFT energy (no corrections) (eV/atom): -3.346

***

Record 4
Density functional theory data (PBE-GGA) for an optimized crystal structure of YTmNO.

```
YTmNO
1.0
4.794 0.000 0.000
0.000 4.794 0.000
0.000 0.000 4.776
O N Tm Y
2 2 2 2
Cartesian
1.198 3.595 0.000
3.595 1.198 0.000
1.198 1.198 2.393
3.595 3.595 2.383
3.595 3.595 0.001
1.198 1.198 4.775
3.595 1.198 2.388
1.198 3.595 2.388
```

Summary:
Offset from the most stable computed form (meV/atom): 0